No. 1
Compound: CrFe2Co
Source: Alexandria
Functional: GGA-PBEsol
Structure: relaxed

The structure belongs to space group R3m (No. 160, hexagonal axes); the cell edges are 2.4312, 2.4312 and 23.9674 Å and the angles 90.00°, 90.00° and 120.00°. Symmetry generates all atoms from Cr at (0.0000, 0.0000, 0.0000), Fe at (0.0000, 0.0000, 0.4993), Fe at (0.0000, 0.0000, 0.7513) and Co at (0.0000, 0.0000, 0.2498).

The volume is 10.2 Å³ per atom. Its size of the total moment is 1.299 μB/f.u. As for the total energy: -8.8596 eV/atom. Its energy of formation from the pure elements is 0.1169 eV per atom.

---

No. 2
Compound: CrFe2Co
Source: Alexandria
Functional: GGA-PBEsol
Structure: relaxed

The structure belongs to space group I4/mmm (No. 139); the cell edges are 3.4524, 3.4524 and 6.9315 Å and the angles 90.00°, 90.00° and 90.00°. Symmetry generates all atoms from Cr at (0.0000, 0.0000, 0.0000), Fe at (0.0000, 0.5000, 0.2500) and Co at (0.0000, 0.0000, 0.5000).

The volume is 10.3 Å³ per atom. Its size of the total moment is 1.431 μB/f.u. As for the total energy: -8.9339 eV/atom. Its energy of formation from the pure elements is 0.0426 eV per atom.